Ni2PSe, single point on PBEsol structure, DFT SCAN; density of states at the Fermi level = 2.28 states/eV/cell; V = 13.39 Å³ per atom; energy above the lowest structure with this stoichiometry = 46.0 meV per atom; SG = C2/m, No. 12; formation energy without anion corrections = -0.664 eV per formula unit
1.0
-1.5068 2.6837 -0.9162
-1.4281 -1.7854 2.7465
3.9959 2.9948 2.2002
Se P Ni
1 1 2
direct
0.5000 0.0000 0.0000
0.0000 0.0000 0.5000
0.7394 0.4787 0.6916
0.2606 0.5213 0.3084


Ni2PSe, single point on PBEsol structure, DFT SCAN; density of states at the Fermi level = 2.21 states/eV/cell; V = 13.24 Å³ per atom; energy above the lowest structure with this stoichiometry = 163.9 meV per atom; SG = Pmmm, No. 47; formation energy without anion corrections = -0.193 eV per formula unit
1.0
2.7837 0.0000 0.2666
0.0000 2.8780 0.0000
-0.6343 0.0000 6.5516
Ni P Se
2 1 1
direct
0.0000 0.0000 0.3125
0.0000 0.0000 0.6875
0.5000 0.5000 0.5000
0.0000 0.5000 0.0000


NiSn2PSe, single point on PBEsol structure, DFT SCAN; density of states at the Fermi level = 4.80 states/eV/cell; V = 24.92 Å³ per atom; SG = P4/mmm, No. 123; formation energy without anion corrections = 3.726 eV per formula unit
1.0
4.1627 0.0000 0.0000
0.0000 5.4712 0.0000
0.0000 0.0000 5.4712
Se Sn P Ni
1 2 1 1
direct
0.0000 0.0000 0.0000
0.0000 0.0000 0.5000
0.0000 0.5000 0.0000
0.5000 0.5000 0.5000
0.5000 0.0000 0.0000


SiNi2P, single point on PBEsol structure, DFT SCAN; density of states at the Fermi level = 1.47 states/eV/cell; V = 11.18 Å³ per atom; energy above the lowest structure with this stoichiometry = 339.2 meV per atom; SG = Pmmm, No. 47; formation energy without anion corrections = -0.512 eV per formula unit
1.0
-1.0149 0.5913 2.3488
-2.0303 -2.4788 -0.2533
3.5612 -3.1552 2.3331
Ni Si P
2 1 1
direct
0.0000 0.0000 0.2621
0.0000 0.0000 0.7379
0.5000 0.5000 0.5000
0.5000 0.5000 0.0000


Si4NiP, single point on PBEsol structure, DFT SCAN; density of states at the Fermi level = 2.84 states/eV/cell; V = 14.01 Å³ per atom; SG = F-43m, No. 216; formation energy without anion corrections = 4.959 eV per formula unit
1.0
-1.1052 -2.0528 4.3294
3.5948 -1.5579 2.9714
0.9535 2.4101 4.1786
Ni Si P
1 4 1
direct
0.7500 0.7500 0.7500
0.3750 0.3750 0.8749
0.3750 0.8749 0.3750
0.3750 0.3750 0.3750
0.8749 0.3750 0.3750
0.0000 0.0000 0.0000


Si2Ni7P5, single point on PBEsol structure, DFT SCAN; density of states at the Fermi level = 17.04 states/eV/cell; V = 12.03 Å³ per atom; SG = Pbcn, No. 60; formation energy without anion corrections = -6.181 eV per formula unit
1.0
-2.5950 -2.3461 3.3457
4.5188 0.2895 3.7079
-8.1119 20.7593 8.2653
Ni P Si
28 20 8
direct
0.0009 0.5311 0.2060
0.5009 0.9689 0.2940
0.4935 0.5513 0.3606
0.9988 0.9560 0.5738
0.4935 0.0513 0.1394
0.0065 0.5513 0.6394
0.5009 0.4689 0.2060
0.5000 0.0000 0.0000
0.9991 0.4689 0.7940
0.4988 0.5440 0.9262
0.5012 0.4560 0.0738
0.9935 0.9487 0.1394
0.4991 0.0311 0.7060
0.0012 0.0440 0.4262
0.0065 0.0513 0.8606
0.4991 0.5311 0.7940
0.0012 0.5440 0.0738
0.0000 0.0000 0.0000
0.5012 0.9560 0.4262
0.5065 0.9487 0.8606
0.0009 0.0311 0.2940
0.5065 0.4487 0.6394
0.0000 0.5000 0.5000
0.9988 0.4560 0.9262
0.5000 0.5000 0.5000
0.9991 0.9689 0.7060
0.9935 0.4487 0.3606
0.4988 0.0440 0.5738
0.6909 0.3235 0.4278
0.1909 0.6765 0.4278
0.3091 0.6765 0.5722
0.7500 0.8330 0.5000
0.3121 0.1839 0.3580
0.2500 0.1670 0.5000
0.8091 0.3235 0.5722
0.6909 0.8235 0.0722
0.6879 0.3161 0.8580
0.7500 0.3330 0.0000
0.3121 0.6839 0.1420
0.3091 0.1765 0.9278
0.8121 0.8161 0.3580
0.1879 0.1839 0.6420
0.8121 0.3161 0.1420
0.2500 0.6670 0.0000
0.8091 0.8235 0.9278
0.1909 0.1765 0.0722
0.6879 0.8161 0.6420
0.1879 0.6839 0.8580
0.2240 0.6563 0.2829
0.7240 0.3437 0.2829
0.2760 0.6563 0.7171
0.7240 0.8437 0.2171
0.7760 0.3437 0.7171
0.2240 0.1563 0.2171
0.2760 0.1563 0.7829
0.7760 0.8437 0.7829


Number 1: energy -63.5 eV per cell. Number 2: energy -63.0 eV per cell. Number 3: energy -114.8 eV per cell. Number 4: energy -53.3 eV per cell. Number 5: energy -61.7 eV per cell. Number 6: energy -765.7 eV per cell.